Density functional theory data (GGA-PBE) for crystalline ThMgSiAu at its relaxed geometry.

a b c (Å): 4.9982 4.9982 4.9982
angles (deg): 60.00 60.00 60.00
Fractional positions:
1 Si 0.5000 0.5000 0.5000
2 Au 0.0000 0.0000 0.0000
3 Mg 0.7500 0.7500 0.7500
4 Th 0.2500 0.2500 0.2500

Properties
- uncorrected formation energy (kJ/mol of formula units) = -169
- E_tot (eV/atom) = -4.867
- D(E_F) (states/eV per cell) = 4.14
- size of the total moment (Bohr magnetons per cell) = 0.0

=====

Density functional theory data (GGA-PBE) for crystalline MgTl2Si3Au12 at its relaxed geometry.

a b c (Å): 7.7718 7.7718 7.7718
angles (deg): 69.19 69.19 69.19
Fractional positions:
1 Mg 0.0000 0.0000 0.0000
2 Tl 0.6003 0.6003 0.6003
3 Tl 0.3997 0.3997 0.3997
4 Si 0.5000 0.0000 0.0000
5 Si 0.0000 0.5000 0.0000
6 Si 0.0000 0.0000 0.5000
7 Au 0.3391 0.3391 0.8854
8 Au 0.8535 0.8535 0.3786
9 Au 0.3786 0.8535 0.8535
10 Au 0.8854 0.3391 0.3391
11 Au 0.8535 0.3786 0.8535
12 Au 0.3391 0.8854 0.3391
13 Au 0.6609 0.6609 0.1146
14 Au 0.1465 0.1465 0.6214
15 Au 0.6214 0.1465 0.1465
16 Au 0.1146 0.6609 0.6609
17 Au 0.1465 0.6214 0.1465
18 Au 0.6609 0.1146 0.6609

Properties
- uncorrected formation energy (kJ/mol of formula units) = 65
- E_tot (eV/atom) = -3.403
- D(E_F) (states/eV per cell) = 6.30
- size of the total moment (Bohr magnetons per cell) = 0.0

=====

Density functional theory data (GGA-PBE) for crystalline TmMgSiAu at its relaxed geometry.

a b c (Å): 4.8316 4.8316 4.8316
angles (deg): 60.00 60.00 60.00
Fractional positions:
1 Si 0.7500 0.7500 0.7500
2 Tm 0.5000 0.5000 0.5000
3 Au 0.2500 0.2500 0.2500
4 Mg 0.0000 0.0000 0.0000

Properties
- uncorrected formation energy (kJ/mol of formula units) = -209
- E_tot (eV/atom) = -4.233
- D(E_F) (states/eV per cell) = 1.47
- size of the total moment (Bohr magnetons per cell) = 0.0

=====

Density functional theory data (GGA-PBE) for crystalline YMgSiAu at its relaxed geometry.

a b c (Å): 4.8786 4.8786 4.8786
angles (deg): 60.00 60.00 60.00
Fractional positions:
1 Y 0.0000 0.0000 0.0000
2 Si 0.7500 0.7500 0.7500
3 Au 0.2500 0.2500 0.2500
4 Mg 0.5000 0.5000 0.5000

Properties
- uncorrected formation energy (kJ/mol of formula units) = -207
- E_tot (eV/atom) = -4.727
- D(E_F) (states/eV per cell) = 1.66
- size of the total moment (Bohr magnetons per cell) = 0.0

=====

Density functional theory data (GGA-PBE) for crystalline Y2MgSi3Au4 at its relaxed geometry.

a b c (Å): 4.2267 4.2267 10.8642
angles (deg): 90.00 90.00 90.00
Fractional positions:
1 Y 0.5000 0.0000 0.2316
2 Y 0.0000 0.5000 0.7684
3 Mg 0.5000 0.5000 0.5000
4 Si 0.0000 0.0000 0.5000
5 Si 0.5000 0.0000 0.8632
6 Si 0.0000 0.5000 0.1368
7 Au 0.5000 0.5000 0.0000
8 Au 0.0000 0.0000 0.0000
9 Au 0.5000 0.0000 0.6422
10 Au 0.0000 0.5000 0.3578

Properties
- uncorrected formation energy (kJ/mol of formula units) = -581
- E_tot (eV/atom) = -4.992
- D(E_F) (states/eV per cell) = 3.53
- size of the total moment (Bohr magnetons per cell) = 0.0

=====

Density functional theory data (GGA-PBE) for crystalline Sm4MgAu5 at its relaxed geometry.

a b c (Å): 3.5953 3.5953 18.2243
angles (deg): 90.00 90.00 90.00
Fractional positions:
1 Sm 0.0000 0.0000 0.1877
2 Sm 0.0000 0.0000 0.3963
3 Sm 0.0000 0.0000 0.6037
4 Sm 0.0000 0.0000 0.8123
5 Mg 0.0000 0.0000 0.0000
6 Au 0.5000 0.5000 0.0867
7 Au 0.5000 0.5000 0.2930
8 Au 0.5000 0.5000 0.5000
9 Au 0.5000 0.5000 0.7070
10 Au 0.5000 0.5000 0.9133

Properties
- E_tot (eV/atom) = -4.435
- ΔH_f (0 K) (meV/atom) = -749
- D(E_F) (states/eV per cell) = 4.99
- size of the total moment (Bohr magnetons per cell) = 0.0